No. 1
This record from Alexandria via LeMat-Bulk describes a relaxed structure of K2LiHgF. The functional is PBE.

Properties
Space group   No. 123
Calculated total energy   -9.031 eV per formula unit
ΔE to the lowest computed polymorph   542 meV per atom

abc: 6.272 4.949 6.272
angles: 90.00 90.00 90.00
Atoms (fractional coordinates):
K: 0.000 0.000 0.500
K: 0.500 0.000 0.000
Li: 0.000 0.000 0.000
Hg: 0.000 0.500 0.000
F: 0.500 0.500 0.500

---

No. 2
This record from Alexandria via LeMat-Bulk describes a relaxed structure of KLiHg2F8. The functional is PBE.

Properties
Space group   No. 2
Calculated total energy   -39.158 eV per formula unit

abc: 4.761 5.266 7.825
angles: 85.26 88.77 85.07
Site moments in Bohr magnetons follow the coordinates.
Atoms (fractional coordinates):
K: 0.000 0.000 0.500  0.00
Li: 0.000 0.000 0.000  0.00
Hg: 0.479 0.495 0.774  0.29
Hg: 0.521 0.505 0.226  0.29
F: 0.160 0.762 0.224  0.16
F: 0.664 0.741 0.017  0.17
F: 0.864 0.235 0.197  0.17
F: 0.840 0.238 0.776  0.16
F: 0.336 0.259 0.983  0.17
F: 0.136 0.765 0.803  0.17
F: 0.583 0.721 0.552  0.16
F: 0.417 0.279 0.448  0.16

---

No. 3
This record from Alexandria via LeMat-Bulk describes a relaxed structure of KMgHgF5. The functional is PBE.

Properties
Space group   No. 15
Calculated total energy   -32.587 eV per formula unit

abc: 6.151 6.151 7.613
angles: 97.51 97.51 114.01
Atoms (fractional coordinates):
K: 0.323 0.677 0.250
K: 0.677 0.323 0.750
Mg: 0.000 0.000 0.500
Mg: 0.000 0.000 0.000
Hg: 0.665 0.335 0.250
Hg: 0.335 0.665 0.750
F: 0.056 0.944 0.250
F: 0.944 0.056 0.750
F: 0.908 0.275 0.075
F: 0.092 0.725 0.925
F: 0.725 0.092 0.425
F: 0.275 0.908 0.575
F: 0.747 0.645 0.468
F: 0.253 0.355 0.532
F: 0.355 0.253 0.032
F: 0.645 0.747 0.968

---

No. 4
This record from Alexandria via LeMat-Bulk describes a relaxed structure of K3MgHg2F9. The functional is PBE.

Properties
Space group   No. 164
Calculated total energy   -58.299 eV per formula unit

abc: 6.233 6.233 7.608
angles: 90.00 90.00 120.00
Atoms (fractional coordinates):
K: 0.333 0.667 0.683
K: 0.000 0.000 0.000
K: 0.667 0.333 0.317
Mg: 0.000 0.000 0.500
Hg: 0.333 0.667 0.190
Hg: 0.667 0.333 0.810
F: 0.848 0.152 0.652
F: 0.848 0.696 0.652
F: 0.304 0.152 0.652
F: 0.696 0.848 0.348
F: 0.152 0.304 0.348
F: 0.152 0.848 0.348
F: 0.500 0.000 0.000
F: 0.000 0.500 0.000
F: 0.500 0.500 0.000

---

No. 5
This record from Alexandria via LeMat-Bulk describes a relaxed structure of K2Mg3HgF12. The functional is PBE.

Properties
Space group   No. 166
Calculated total energy   -77.019 eV per formula unit

abc: 7.520 7.520 7.520
angles: 58.63 58.63 58.63
Site moments in Bohr magnetons follow the coordinates.
Atoms (fractional coordinates):
K: 0.600 0.600 0.600  0.00
K: 0.400 0.400 0.400  0.00
Mg: 0.500 0.000 0.000  0.00
Mg: 0.000 0.500 0.000  0.00
Mg: 0.000 0.000 0.500  0.00
Hg: 0.000 0.000 0.000  0.42
F: 0.312 0.312 0.920  0.07
F: 0.909 0.909 0.351  0.19
F: 0.351 0.909 0.909  0.19
F: 0.920 0.312 0.312  0.07
F: 0.909 0.351 0.909  0.19
F: 0.312 0.920 0.312  0.07
F: 0.688 0.688 0.080  0.07
F: 0.091 0.091 0.649  0.19
F: 0.649 0.091 0.091  0.19
F: 0.080 0.688 0.688  0.07
F: 0.091 0.649 0.091  0.19
F: 0.688 0.080 0.688  0.07

---

No. 6
This record from Alexandria via LeMat-Bulk describes a relaxed structure of K3Mg2HgF9. The functional is PBE.

Properties
Space group   No. 164
Calculated total energy   -66.269 eV per formula unit

abc: 5.932 5.932 7.419
angles: 90.00 90.00 120.00
Atoms (fractional coordinates):
K: 0.333 0.667 0.671
K: 0.000 0.000 0.000
K: 0.667 0.333 0.329
Mg: 0.333 0.667 0.148
Mg: 0.667 0.333 0.852
Hg: 0.000 0.000 0.500
F: 0.823 0.177 0.690
F: 0.823 0.646 0.690
F: 0.354 0.177 0.690
F: 0.646 0.823 0.310
F: 0.177 0.354 0.310
F: 0.177 0.823 0.310
F: 0.500 0.000 0.000
F: 0.000 0.500 0.000
F: 0.500 0.500 0.000

---

No. 7
This record from Alexandria via LeMat-Bulk describes a relaxed structure of KMgHg2F8. The functional is PBE.

Properties
Space group   No. 2
Calculated total energy   -43.076 eV per formula unit

abc: 4.976 5.242 7.508
angles: 85.66 88.23 86.74
Site moments in Bohr magnetons follow the coordinates.
Atoms (fractional coordinates):
K: 0.000 0.000 0.500  0.00
Mg: 0.000 0.000 0.000  0.00
Hg: 0.478 0.485 0.763  0.15
Hg: 0.522 0.515 0.237  0.15
F: 0.164 0.784 0.207  0.08
F: 0.693 0.745 0.012  0.08
F: 0.836 0.209 0.193  0.09
F: 0.836 0.216 0.793  0.08
F: 0.307 0.255 0.988  0.08
F: 0.164 0.791 0.807  0.09
F: 0.603 0.717 0.530  0.10
F: 0.397 0.283 0.470  0.10

---

No. 8
This record from Alexandria via LeMat-Bulk describes a relaxed structure of K2MgHgF6. The functional is PBE.

Properties
Space group   No. 59
Calculated total energy   -41.550 eV per formula unit

abc: 6.101 6.100 8.631
angles: 90.00 90.00 90.00
Atoms (fractional coordinates):
K: 0.500 0.751 0.250
K: 0.000 0.249 0.750
K: 0.500 0.751 0.750
K: 0.000 0.249 0.250
Mg: 0.500 0.250 0.500
Mg: 0.000 0.750 0.000
Hg: 0.000 0.749 0.500
Hg: 0.500 0.251 0.000
F: 0.500 0.249 0.268
F: 0.500 0.249 0.732
F: 0.000 0.751 0.232
F: 0.000 0.751 0.768
F: 0.268 0.017 0.500
F: 0.732 0.017 0.500
F: 0.268 0.482 0.500
F: 0.732 0.482 0.500
F: 0.768 0.518 0.000
F: 0.232 0.518 0.000
F: 0.232 0.983 0.000
F: 0.768 0.983 0.000